Entry 1:
LiO: relaxed, PBE.

Cell and atoms, written as CIF:
```
data_LiO
_chemical_formula_sum 'Li6 O6'
_cell_length_a 7.6719
_cell_length_b 7.6719
_cell_length_c 3.1470
_cell_angle_alpha 90.00
_cell_angle_beta 90.00
_cell_angle_gamma 120.00
_space_group_name_H-M_alt 'P 63/m'
_space_group_IT_number 176
_space_group_name_Hall '-P 6c'
loop_
_atom_site_label
_atom_site_fract_x
_atom_site_fract_y
_atom_site_fract_z
Li1 0.1316 0.4309 0.2500
O1 0.0404 0.6249 0.2500
```

Values from the calculation:
The crystal system is hexagonal. Its formation energy (no corrections) is -0.972 eV per atom. The calculation puts the magnetic moment at 1.0 μB/f.u. The calculated density comes out at 1.4 g/cm³.

***

Entry 2:
LiO8: relaxed, PBE.

Cell and atoms, written as CIF:
```
data_LiO8
_chemical_formula_sum 'Li2 O16'
_cell_length_a 9.225
_cell_length_b 6.571
_cell_length_c 4.658
_cell_angle_alpha 90.00
_cell_angle_beta 118.31
_cell_angle_gamma 90.00
_space_group_name_H-M_alt 'C 1 m 1'
_space_group_IT_number 8
_space_group_name_Hall 'C -2y'
loop_
_atom_site_label
_atom_site_fract_x
_atom_site_fract_y
_atom_site_fract_z
Li1 0.000 0.000 0.000
O1 0.038 0.500 0.857
O2 0.105 0.500 0.157
O3 0.176 0.000 0.826
O4 0.247 0.000 0.135
O5 0.371 0.234 0.837
O6 0.441 0.234 0.149
```

Values from the calculation:
The crystal system is monoclinic. Its formation energy (no corrections) is -0.206 eV per atom. The calculation puts the magnetic moment at 1.0 μB/f.u. The calculated density comes out at 1.8 g/cm³.

***

Entry 3:
LiO: relaxed, PBE.

Cell and atoms, written as CIF:
```
data_LiO
_chemical_formula_sum 'Li1 O1'
_cell_length_a 2.9902
_cell_length_b 2.9902
_cell_length_c 2.1547
_cell_angle_alpha 90.00
_cell_angle_beta 90.00
_cell_angle_gamma 120.00
_space_group_name_H-M_alt 'P -6 m 2'
_space_group_IT_number 187
_space_group_name_Hall 'P -6 2'
loop_
_atom_site_label
_atom_site_fract_x
_atom_site_fract_y
_atom_site_fract_z
Li1 0.0000 0.0000 0.0000
O1 0.6667 0.3333 0.5000
```

Values from the calculation:
The crystal system is hexagonal. Its formation energy (no corrections) is -1.095 eV per atom. The calculation puts the magnetic moment at 0.0 μB/f.u. The calculated density comes out at 2.3 g/cm³.

***

Entry 4:
LiO: relaxed, PBE.

Cell and atoms, written as CIF:
```
data_LiO
_chemical_formula_sum 'Li8 O8'
_cell_length_a 6.088
_cell_length_b 6.088
_cell_length_c 6.088
_cell_angle_alpha 90.00
_cell_angle_beta 90.00
_cell_angle_gamma 90.00
_space_group_name_H-M_alt 'I -4 3 m'
_space_group_IT_number 217
_space_group_name_Hall 'I -4 2 3'
loop_
_atom_site_label
_atom_site_fract_x
_atom_site_fract_y
_atom_site_fract_z
Li1 0.171 0.171 0.171
O1 0.148 0.148 0.852
```

Values from the calculation:
The crystal system is cubic. Its formation energy (no corrections) is -0.861 eV per atom. The calculation puts the magnetic moment at 1.0 μB/f.u. The calculated density comes out at 1.4 g/cm³.

***

> What is the formation energy (no corrections) in the first record?

-0.972 eV per atom

***

What did the third record say?
LiO: relaxed, PBE.

Cell and atoms, written as CIF:
```
data_LiO
_chemical_formula_sum 'Li1 O1'
_cell_length_a 2.9902
_cell_length_b 2.9902
_cell_length_c 2.1547
_cell_angle_alpha 90.00
_cell_angle_beta 90.00
_cell_angle_gamma 120.00
_space_group_name_H-M_alt 'P -6 m 2'
_space_group_IT_number 187
_space_group_name_Hall 'P -6 2'
loop_
_atom_site_label
_atom_site_fract_x
_atom_site_fract_y
_atom_site_fract_z
Li1 0.0000 0.0000 0.0000
O1 0.6667 0.3333 0.5000
```

Values from the calculation:
The crystal system is hexagonal. Its formation energy (no corrections) is -1.095 eV per atom. The calculation puts the magnetic moment at 0.0 μB/f.u. The calculated density comes out at 2.3 g/cm³.